[1]
First-principles (GGA-PBEsol) data for a relaxed ScAsAu2 crystal, as listed in Alexandria. Values from VASP.

Quantum ESPRESSO input file:
```
&SYSTEM
  ibrav = 0, nat = 4, ntyp = 3
/
ATOMIC_SPECIES
Sc 44.96 Sc.upf
As 74.92 As.upf
Au 196.97 Au.upf
CELL_PARAMETERS angstrom
3.862 0.000 0.000
0.000 3.862 0.000
0.000 0.000 4.774
ATOMIC_POSITIONS crystal
Sc 0.000 0.000 0.000
As 0.500 0.500 0.000
Au 0.000 0.500 0.500
Au 0.500 0.000 0.500
```

Summary:
For the formation energy, the calculation gives -60 kJ/mol of atoms. The value obtained for the uncorrected energy is -0.20253 hartree per atom.



[2]
First-principles (GGA-PBEsol) data for a relaxed ScAs2Au crystal, as listed in Alexandria. Values from VASP.

Quantum ESPRESSO input file:
```
&SYSTEM
  ibrav = 0, nat = 4, ntyp = 3
/
ATOMIC_SPECIES
Sc 44.96 Sc.upf
As 74.92 As.upf
Au 196.97 Au.upf
CELL_PARAMETERS angstrom
3.581 0.000 0.000
0.000 3.581 0.000
0.000 0.000 5.799
ATOMIC_POSITIONS crystal
Sc 0.000 0.000 0.000
As 0.500 0.500 0.223
As 0.500 0.500 0.777
Au 0.000 0.000 0.500
```

Summary:
For the formation energy, the calculation gives -38 kJ/mol of atoms. The value obtained for the uncorrected energy is -0.20506 hartree per atom.



[3]
First-principles (GGA-PBEsol) data for a relaxed Y2ScAsAu crystal, as listed in Alexandria. Values from VASP.

Quantum ESPRESSO input file:
```
&SYSTEM
  ibrav = 0, nat = 5, ntyp = 4
/
ATOMIC_SPECIES
Y 88.91 Y.upf
Sc 44.96 Sc.upf
As 74.92 As.upf
Au 196.97 Au.upf
CELL_PARAMETERS angstrom
5.324 0.000 0.000
0.000 5.324 0.000
0.000 0.000 4.835
ATOMIC_POSITIONS crystal
Y 0.000 0.500 0.000
Y 0.500 0.000 0.000
Sc 0.000 0.000 0.500
As 0.500 0.500 0.000
Au 0.500 0.500 0.500
```

Summary:
For the formation energy, the calculation gives -10 kJ/mol of atoms. The value obtained for the uncorrected energy is -0.21897 hartree per atom.



[4]
First-principles (GGA-PBEsol) data for a relaxed AsAu2Se crystal, as listed in Alexandria. Values from VASP.

Quantum ESPRESSO input file:
```
&SYSTEM
  ibrav = 0, nat = 4, ntyp = 3
/
ATOMIC_SPECIES
As 74.92 As.upf
Au 196.97 Au.upf
Se 78.96 Se.upf
CELL_PARAMETERS angstrom
2.782 0.000 0.000
0.000 2.782 0.000
0.000 0.000 9.508
ATOMIC_POSITIONS crystal
As 0.000 0.000 0.000
Au 0.500 0.500 0.238
Au 0.500 0.500 0.762
Se 0.000 0.000 0.500
```

Summary:
Its formation energy (no corrections) is 0.285 eV per atom. The value obtained for the uncorrected energy is -0.14390 hartree per atom.



[5]
First-principles (GGA-PBEsol) data for a relaxed AsAu2Se crystal, as listed in Alexandria. Values from VASP.

Quantum ESPRESSO input file:
```
&SYSTEM
  ibrav = 0, nat = 8, ntyp = 3
/
ATOMIC_SPECIES
As 74.92 As.upf
Au 196.97 Au.upf
Se 78.96 Se.upf
CELL_PARAMETERS angstrom
-3.160 3.160 4.649
3.160 -3.160 4.649
3.160 3.160 -4.649
ATOMIC_POSITIONS crystal
As 0.000 0.000 0.000
As 0.750 0.250 0.500
Au 0.114 0.125 0.489
Au 0.375 0.886 0.011
Au 0.636 0.625 0.511
Au 0.875 0.364 0.989
Se 0.250 0.750 0.500
Se 0.500 0.500 0.000
```

Summary:
Its formation energy (no corrections) is 0.199 eV per atom. The value obtained for the uncorrected energy is -0.14709 hartree per atom.



[6]
First-principles (GGA-PBEsol) data for a relaxed SiAsAuSe2 crystal, as listed in Alexandria. Values from VASP.

Quantum ESPRESSO input file:
```
&SYSTEM
  ibrav = 0, nat = 5, ntyp = 4
/
ATOMIC_SPECIES
Si 28.09 Si.upf
As 74.92 As.upf
Au 196.97 Au.upf
Se 78.96 Se.upf
CELL_PARAMETERS angstrom
4.664 0.000 0.000
0.000 4.664 0.000
0.000 0.000 4.811
ATOMIC_POSITIONS crystal
Si 0.000 0.000 0.000
As 0.000 0.000 0.500
Au 0.500 0.500 0.500
Se 0.000 0.500 0.000
Se 0.500 0.000 0.000
```

Summary:
Its formation energy (no corrections) is 0.642 eV per atom. The value obtained for the uncorrected energy is -0.14161 hartree per atom.